No. 1
Computed, not measured: a relaxed structure of Ho3Tm3ScS8 at the PBE level of DFT.

Structure (CIF):
```
data_Ho3Tm3ScS8
_cell_length_a 7.6769
_cell_length_b 7.6769
_cell_length_c 18.8497
_cell_angle_alpha 90.00
_cell_angle_beta 90.00
_cell_angle_gamma 120.00
_symmetry_space_group_name_H-M 'R -3 m'
_symmetry_Int_Tables_number 166
_symmetry_space_group_name_Hall '-R 3 2"'
loop_
_atom_site_label
_atom_site_type_symbol
_atom_site_fract_x
_atom_site_fract_y
_atom_site_fract_z
Ho1 Ho 0.0000 0.5000 0.0000
Tm1 Tm 0.0000 0.5000 0.5000
Sc1 Sc 0.0000 0.0000 0.5000
S1 S 0.0000 0.0000 0.2488
S2 S 0.0048 0.5024 0.2475
```

Output
Uncorrected formation energy ... -2921 kJ/mol of formula units



No. 2
Computed, not measured: a relaxed structure of InRe2Br at the PBE level of DFT.

Structure (CIF):
```
data_InRe2Br
_cell_length_a 3.059
_cell_length_b 3.059
_cell_length_c 8.225
_cell_angle_alpha 90.00
_cell_angle_beta 90.00
_cell_angle_gamma 90.00
_symmetry_space_group_name_H-M 'P 4 m m'
_symmetry_Int_Tables_number 99
loop_
_symmetry_equiv_pos_as_xyz
'x,y,z'
'-y,x,z'
'-x,-y,z'
'y,-x,z'
'-x,y,z'
'y,x,z'
'x,-y,z'
'-y,-x,z'
loop_
_atom_site_label
_atom_site_type_symbol
_atom_site_fract_x
_atom_site_fract_y
_atom_site_fract_z
In1 In 0.000 0.000 0.000
Re1 Re 0.000 0.000 0.422
Re2 Re 0.500 0.500 0.243
Br1 Br 0.500 0.500 0.665
```

Output
Uncorrected formation energy ... 154 kJ/mol of formula units
Energy above the most stable polymorph in this dataset ... 119.9 meV/atom



No. 3
Computed, not measured: a relaxed structure of YHo2I at the PBE level of DFT.

Structure (CIF):
```
data_YHo2I
_cell_length_a 3.7383
_cell_length_b 3.7383
_cell_length_c 31.3010
_cell_angle_alpha 90.00
_cell_angle_beta 90.00
_cell_angle_gamma 120.00
_symmetry_space_group_name_H-M 'R -3 m'
_symmetry_Int_Tables_number 166
_symmetry_space_group_name_Hall '-R 3 2"'
loop_
_atom_site_label
_atom_site_type_symbol
_atom_site_fract_x
_atom_site_fract_y
_atom_site_fract_z
Y1 Y 0.0000 0.0000 0.0000
Ho1 Ho 0.0000 0.0000 0.2455
I1 I 0.0000 0.0000 0.5000
```

Output
Uncorrected formation energy ... -128 kJ/mol of formula units



No. 4
Computed, not measured: a relaxed structure of NpUAsO2 at the PBE level of DFT.

Structure (CIF):
```
data_NpUAsO2
_cell_length_a 3.797
_cell_length_b 3.797
_cell_length_c 11.893
_cell_angle_alpha 90.00
_cell_angle_beta 90.00
_cell_angle_gamma 90.00
_symmetry_space_group_name_H-M 'I 4 m m'
_symmetry_Int_Tables_number 107
_symmetry_space_group_name_Hall 'I 4 -2'
loop_
_atom_site_label
_atom_site_type_symbol
_atom_site_fract_x
_atom_site_fract_y
_atom_site_fract_z
Np1 Np 0.000 0.000 0.000
U1 U 0.000 0.000 0.282
As1 As 0.000 0.000 0.640
O1 O 0.000 0.500 0.387
```

Output
Uncorrected formation energy ... -1072 kJ/mol of formula units



No. 5
Computed, not measured: a relaxed structure of La2NdIn2 at the PBE level of DFT.

Structure (CIF):
```
data_La2NdIn2
_cell_length_a 3.918
_cell_length_b 5.553
_cell_length_c 14.699
_cell_angle_alpha 90.00
_cell_angle_beta 97.68
_cell_angle_gamma 90.00
_symmetry_space_group_name_H-M 'P 1 21/m 1'
_symmetry_Int_Tables_number 11
loop_
_symmetry_equiv_pos_as_xyz
'x,y,z'
'-x,-y,-z'
'-x,y+1/2,-z'
'x,-y+1/2,z'
loop_
_atom_site_label
_atom_site_type_symbol
_atom_site_fract_x
_atom_site_fract_y
_atom_site_fract_z
La1 La 0.047 0.250 0.094
La2 La 0.237 0.250 0.472
Nd1 Nd 0.145 0.750 0.292
In1 In 0.357 0.750 0.714
In2 In 0.449 0.250 0.897
```

Output
Energy relative to the elements ... -189 kJ/mol of formula units
Energy above the most stable polymorph in this dataset ... 0.0 meV/atom



No. 6
Computed, not measured: a relaxed structure of Ba2AgBr2O2 at the PBE level of DFT.

Structure (CIF):
```
data_Ba2AgBr2O2
_cell_length_a 4.391
_cell_length_b 4.391
_cell_length_c 17.500
_cell_angle_alpha 90.00
_cell_angle_beta 90.00
_cell_angle_gamma 90.00
_symmetry_space_group_name_H-M 'I 4/m m m'
_symmetry_Int_Tables_number 139
_symmetry_space_group_name_Hall '-I 4 2'
loop_
_atom_site_label
_atom_site_type_symbol
_atom_site_fract_x
_atom_site_fract_y
_atom_site_fract_z
Ba1 Ba 0.000 0.000 0.104
Ag1 Ag 0.000 0.000 0.500
Br1 Br 0.000 0.000 0.317
O1 O 0.000 0.500 0.000
```

Output
Uncorrected formation energy ... -1205 kJ/mol of formula units



No. 7
Computed, not measured: a relaxed structure of HfTc2Ag at the PBE level of DFT.

Structure (CIF):
```
data_HfTc2Ag
_cell_length_a 6.449
_cell_length_b 6.449
_cell_length_c 6.449
_cell_angle_alpha 90.00
_cell_angle_beta 90.00
_cell_angle_gamma 90.00
_symmetry_space_group_name_H-M 'F m -3 m'
_symmetry_Int_Tables_number 225
_symmetry_space_group_name_Hall '-F 4 2 3'
loop_
_atom_site_label
_atom_site_type_symbol
_atom_site_fract_x
_atom_site_fract_y
_atom_site_fract_z
Hf1 Hf 0.000 0.000 0.000
Tc1 Tc 0.250 0.250 0.250
Ag1 Ag 0.000 0.000 0.500
```

Output
Energy relative to the elements ... 128 kJ/mol of formula units
Energy above the most stable polymorph in this dataset ... 0.0 meV/atom



No. 8
Computed, not measured: a relaxed structure of Tb5Er5Mg2 at the PBE level of DFT.

Structure (CIF):
```
data_Tb5Er5Mg2
_cell_length_a 14.850
_cell_length_b 4.965
_cell_length_c 10.965
_cell_angle_alpha 90.00
_cell_angle_beta 116.74
_cell_angle_gamma 90.00
_symmetry_space_group_name_H-M 'C 1 2/m 1'
_symmetry_Int_Tables_number 12
loop_
_symmetry_equiv_pos_as_xyz
'x,y,z'
'-x,-y,-z'
'-x,y,-z'
'x,-y,z'
'x+1/2,y+1/2,z'
'-x+1/2,-y+1/2,-z'
'-x+1/2,y+1/2,-z'
'x+1/2,-y+1/2,z'
loop_
_atom_site_label
_atom_site_type_symbol
_atom_site_fract_x
_atom_site_fract_y
_atom_site_fract_z
Tb1 Tb 0.000 0.000 0.000
Tb2 Tb 0.082 0.000 0.748
Tb3 Tb 0.249 0.500 0.745
Er1 Er 0.000 0.500 0.500
Er2 Er 0.085 0.500 0.254
Er3 Er 0.166 0.500 0.999
Mg1 Mg 0.168 0.000 0.500
```

Output
Energy relative to the elements ... 17 kJ/mol of formula units



Record order is preserved below.
Volume: 21.4, 19.2, 31.6, 17.1, 31.7, 24.1, 16.8, 30.1 A^3/atom
Record order is preserved below.
Raw total energy: -290.32, -27.71, -55.50, -99.81, -44.13, -64.89, -128.85, -97.95 eV/cell